Material: Li2HPb
Method: DFT, PBE-GGA
State: optimized geometry

Cell: 5.7270 5.7270 5.7052 Å, 59.87 59.87 90.00°
Positions (direct):
Pb (0.0000, 0.0000, 0.0000)
Pb (0.7500, 0.2500, 0.5000)
H (0.5000, 0.5000, 0.0000)
H (0.2500, 0.7500, 0.5000)
Li (0.3879, 0.1250, 0.2500)
Li (0.3621, 0.6250, 0.2500)
Li (0.3750, 0.6121, 0.7500)
Li (0.8750, 0.6379, 0.7500)

- polymorph energy (0 for the lowest one) (meV per atom) = 0
- D(E_F) (states/eV/atom) = 0.0862

=====

Material: K2CaAgB
Method: DFT, PBE-GGA
State: optimized geometry

Cell: 5.9646 5.2403 5.9646 Å, 90.00 90.00 90.00°
Positions (direct):
Ca (0.0000, 0.5000, 0.0000)
B (0.0000, 0.0000, 0.0000)
K (0.0000, 0.0000, 0.5000)
K (0.5000, 0.0000, 0.0000)
Ag (0.5000, 0.5000, 0.5000)

- D(E_F) (states/eV/atom) = 0.4363
- calculated formation energy (meV/atom) = 671

=====

Material: La2As2I
Method: DFT, PBE-GGA
State: optimized geometry

Cell: 4.7038 4.7038 8.4163 Å, 73.77 73.77 90.00°
Positions (direct):
I (0.0000, 0.0000, 0.0000)
As (0.7500, 0.2500, 0.5000)
As (0.2500, 0.7500, 0.5000)
La (0.3614, 0.3614, 0.2771)
La (0.6386, 0.6386, 0.7229)

- polymorph energy (0 for the lowest one) (meV per atom) = 266
- D(E_F) (states/eV/atom) = 0.5849
- formation energy (no corrections) (eV/atom) = -0.978

=====

- What is the D(E_F) in the second record?
  0.4363 states/eV/atom

=====

- What is the D(E_F) in the first record?
  0.0862 states/eV/atom